[1]
# Cs2RbMoBr6 (PBE-GGA, optimized geometry)
data_Cs2RbMoBr6
_chemical_formula_sum 'Cs4 Rb2 Mo2 Br12'
_space_group_name_H-M_alt 'P m m n'
_space_group_IT_number 59
_cell_length_a 7.9494
_cell_length_b 11.7466
_cell_length_c 8.9089
_cell_angle_alpha 90.00
_cell_angle_beta 90.00
_cell_angle_gamma 90.00
loop_
_space_group_symop_operation_xyz
'x,y,z'
'-x,-y,-z'
'-x+1/2,-y+1/2,z'
'x+1/2,y+1/2,-z'
'x+1/2,-y,-z'
'-x+1/2,y,z'
'-x,y+1/2,-z'
'x,-y+1/2,z'
loop_
_atom_site_label
_atom_site_type_symbol
_atom_site_fract_x
_atom_site_fract_y
_atom_site_fract_z
_atom_site_occupancy
Cs1 Cs 0.2500 0.0263 0.2011 1
Rb1 Rb 0.2500 0.2500 0.7039 1
Mo1 Mo 0.2500 0.7500 0.7898 1
Br1 Br 0.0154 0.7500 0.5845 1
Br2 Br 0.0203 0.7500 0.0024 1
Br3 Br 0.2500 0.5269 0.7893 1
# - DOS at the Fermi energy (states/eV/f.u.) = 0.000
# - M_tot (μB/cell) = 6.00
# - E above lowest polymorph (eV/f.u.) = 0.00
# - formation energy from raw total energies (eV per atom) = -1.29

---

[2]
# Cs2MoRhBr6 (PBE-GGA, optimized geometry)
data_Cs2MoRhBr6
_chemical_formula_sum 'Cs4 Mo2 Rh2 Br12'
_space_group_name_H-M_alt 'I 4/m m m'
_space_group_IT_number 139
_space_group_name_Hall '-I 4 2'
_cell_length_a 7.6182
_cell_length_b 7.6182
_cell_length_c 10.8026
_cell_angle_alpha 90.00
_cell_angle_beta 90.00
_cell_angle_gamma 90.00
loop_
_atom_site_label
_atom_site_type_symbol
_atom_site_fract_x
_atom_site_fract_y
_atom_site_fract_z
_atom_site_occupancy
Cs1 Cs 0.0000 0.5000 0.2500 1
Mo1 Mo 0.0000 0.0000 0.0000 1
Rh1 Rh 0.0000 0.0000 0.5000 1
Br1 Br 0.0000 0.0000 0.2463 1
Br2 Br 0.2471 0.2471 0.0000 1
# - M_tot (μB/cell) = 9.89
# - formation energy from raw total energies (eV per atom) = -0.81

---

[3]
# Cs2SbMoBr6 (PBE-GGA, optimized geometry)
data_Cs2SbMoBr6
_chemical_formula_sum 'Cs4 Sb2 Mo2 Br12'
_space_group_name_H-M_alt 'I 4/m m m'
_space_group_IT_number 139
_space_group_name_Hall '-I 4 2'
_cell_length_a 7.9282
_cell_length_b 7.9282
_cell_length_c 12.0796
_cell_angle_alpha 90.00
_cell_angle_beta 90.00
_cell_angle_gamma 90.00
loop_
_atom_site_label
_atom_site_type_symbol
_atom_site_fract_x
_atom_site_fract_y
_atom_site_fract_z
_atom_site_occupancy
Cs1 Cs 0.0000 0.5000 0.2500 1
Sb1 Sb 0.0000 0.0000 0.0000 1
Mo1 Mo 0.0000 0.0000 0.5000 1
Br1 Br 0.0000 0.0000 0.2825 1
Br2 Br 0.2407 0.2407 0.5000 1
# - DOS at the Fermi energy (states/eV/f.u.) = 1.522
# - M_tot (μB/cell) = 10.00
# - formation energy from raw total energies (eV per atom) = -0.85

---

[4]
# Cs2MoSeBr6 (PBE-GGA, optimized geometry)
data_Cs2MoSeBr6
_chemical_formula_sum 'Cs4 Mo2 Se2 Br12'
_space_group_name_H-M_alt 'I 4/m m m'
_space_group_IT_number 139
_space_group_name_Hall '-I 4 2'
_cell_length_a 8.6073
_cell_length_b 8.6073
_cell_length_c 10.3494
_cell_angle_alpha 90.00
_cell_angle_beta 90.00
_cell_angle_gamma 90.00
loop_
_atom_site_label
_atom_site_type_symbol
_atom_site_fract_x
_atom_site_fract_y
_atom_site_fract_z
_atom_site_occupancy
Cs1 Cs 0.0000 0.5000 0.2500 1
Mo1 Mo 0.0000 0.0000 0.0000 1
Se1 Se 0.0000 0.0000 0.5000 1
Br1 Br 0.0000 0.0000 0.2521 1
Br2 Br 0.2129 0.2129 0.0000 1
# - DOS at the Fermi energy (states/eV/f.u.) = 8.543
# - M_tot (μB/cell) = 4.00
# - formation energy from raw total energies (eV per atom) = -0.81

---

[5]
# CsMoSe2Br (PBE-GGA, optimized geometry)
data_CsMoSe2Br
_chemical_formula_sum 'Cs1 Mo1 Se2 Br1'
_space_group_name_H-M_alt 'P 4/m m m'
_space_group_IT_number 123
_space_group_name_Hall '-P 4 2'
_cell_length_a 4.9894
_cell_length_b 4.9894
_cell_length_c 5.6970
_cell_angle_alpha 90.00
_cell_angle_beta 90.00
_cell_angle_gamma 90.00
loop_
_atom_site_label
_atom_site_type_symbol
_atom_site_fract_x
_atom_site_fract_y
_atom_site_fract_z
_atom_site_occupancy
Cs1 Cs 0.0000 0.0000 0.0000 1
Mo1 Mo 0.5000 0.5000 0.5000 1
Se1 Se 0.0000 0.5000 0.5000 1
Br1 Br 0.5000 0.5000 0.0000 1
# - DOS at the Fermi energy (states/eV/f.u.) = 3.984
# - M_tot (μB/cell) = 0.78
# - E above lowest polymorph (eV/f.u.) = 0.00
# - formation energy from raw total energies (eV per atom) = -0.55

---

[6]
# CsMoSe2Br (PBE-GGA, optimized geometry)
data_CsMoSe2Br
_chemical_formula_sum 'Cs1 Mo1 Se2 Br1'
_space_group_name_H-M_alt 'P 4/m m m'
_space_group_IT_number 123
_space_group_name_Hall '-P 4 2'
_cell_length_a 5.7097
_cell_length_b 5.7097
_cell_length_c 6.4458
_cell_angle_alpha 90.00
_cell_angle_beta 90.00
_cell_angle_gamma 90.00
loop_
_atom_site_label
_atom_site_type_symbol
_atom_site_fract_x
_atom_site_fract_y
_atom_site_fract_z
_atom_site_occupancy
Cs1 Cs 0.0000 0.0000 0.0000 1
Mo1 Mo 0.5000 0.5000 0.5000 1
Se1 Se 0.0000 0.5000 0.0000 1
Br1 Br 0.0000 0.0000 0.5000 1
# - DOS at the Fermi energy (states/eV/f.u.) = 8.093
# - M_tot (μB/cell) = 4.22
# - E above lowest polymorph (eV/f.u.) = 9.60
# - formation energy from raw total energies (eV per atom) = 1.37

---

[7]
# CsMoSeBr2 (PBE-GGA, optimized geometry)
data_CsMoSeBr2
_chemical_formula_sum 'Cs1 Mo1 Se1 Br2'
_space_group_name_H-M_alt 'P 4/m m m'
_space_group_IT_number 123
_space_group_name_Hall '-P 4 2'
_cell_length_a 6.4953
_cell_length_b 6.4953
_cell_length_c 5.8385
_cell_angle_alpha 90.00
_cell_angle_beta 90.00
_cell_angle_gamma 90.00
loop_
_atom_site_label
_atom_site_type_symbol
_atom_site_fract_x
_atom_site_fract_y
_atom_site_fract_z
_atom_site_occupancy
Cs1 Cs 0.0000 0.0000 0.0000 1
Mo1 Mo 0.5000 0.5000 0.5000 1
Se1 Se 0.0000 0.0000 0.5000 1
Br1 Br 0.0000 0.5000 0.0000 1
# - DOS at the Fermi energy (states/eV/f.u.) = 10.075
# - M_tot (μB/cell) = 3.99
# - E above lowest polymorph (eV/f.u.) = 8.25
# - formation energy from raw total energies (eV per atom) = 1.01

---

[8]
# CsMoSeBr2 (PBE-GGA, optimized geometry)
data_CsMoSeBr2
_chemical_formula_sum 'Cs1 Mo1 Se1 Br2'
_space_group_name_H-M_alt 'P 4/m m m'
_space_group_IT_number 123
_space_group_name_Hall '-P 4 2'
_cell_length_a 5.6174
_cell_length_b 5.6174
_cell_length_c 4.9337
_cell_angle_alpha 90.00
_cell_angle_beta 90.00
_cell_angle_gamma 90.00
loop_
_atom_site_label
_atom_site_type_symbol
_atom_site_fract_x
_atom_site_fract_y
_atom_site_fract_z
_atom_site_occupancy
Cs1 Cs 0.0000 0.0000 0.0000 1
Mo1 Mo 0.5000 0.5000 0.5000 1
Se1 Se 0.5000 0.5000 0.0000 1
Br1 Br 0.0000 0.5000 0.5000 1
# - DOS at the Fermi energy (states/eV/f.u.) = 1.733
# - M_tot (μB/cell) = 2.69
# - E above lowest polymorph (eV/f.u.) = 0.00
# - formation energy from raw total energies (eV per atom) = -0.65

---

[9]
# Cs2SnMoBr6 (PBE-GGA, optimized geometry)
data_Cs2SnMoBr6
_chemical_formula_sum 'Cs4 Sn2 Mo2 Br12'
_space_group_name_H-M_alt 'I 4/m m m'
_space_group_IT_number 139
_space_group_name_Hall '-I 4 2'
_cell_length_a 8.0420
_cell_length_b 8.0420
_cell_length_c 11.4040
_cell_angle_alpha 90.00
_cell_angle_beta 90.00
_cell_angle_gamma 90.00
loop_
_atom_site_label
_atom_site_type_symbol
_atom_site_fract_x
_atom_site_fract_y
_atom_site_fract_z
_atom_site_occupancy
Cs1 Cs 0.0000 0.5000 0.2500 1
Sn1 Sn 0.0000 0.0000 0.0000 1
Mo1 Mo 0.0000 0.0000 0.5000 1
Br1 Br 0.0000 0.0000 0.2625 1
Br2 Br 0.2371 0.2371 0.5000 1
# - DOS at the Fermi energy (states/eV/f.u.) = 2.286
# - M_tot (μB/cell) = 8.00
# - formation energy from raw total energies (eV per atom) = -0.98

---

[10]
# Cs2TaMoBr6 (PBE-GGA, optimized geometry)
data_Cs2TaMoBr6
_chemical_formula_sum 'Cs4 Ta2 Mo2 Br12'
_space_group_name_H-M_alt 'I 4/m m m'
_space_group_IT_number 139
_space_group_name_Hall '-I 4 2'
_cell_length_a 7.7974
_cell_length_b 7.7974
_cell_length_c 11.2578
_cell_angle_alpha 90.00
_cell_angle_beta 90.00
_cell_angle_gamma 90.00
loop_
_atom_site_label
_atom_site_type_symbol
_atom_site_fract_x
_atom_site_fract_y
_atom_site_fract_z
_atom_site_occupancy
Cs1 Cs 0.0000 0.5000 0.2500 1
Ta1 Ta 0.0000 0.0000 0.0000 1
Mo1 Mo 0.0000 0.0000 0.5000 1
Br1 Br 0.0000 0.0000 0.2380 1
Br2 Br 0.2441 0.2441 0.0000 1
# - DOS at the Fermi energy (states/eV/f.u.) = 14.898
# - M_tot (μB/cell) = 14.00
# - formation energy from raw total energies (eV per atom) = -0.70

---

[11]
# Cs2TiMoBr6 (PBE-GGA, optimized geometry)
data_Cs2TiMoBr6
_chemical_formula_sum 'Cs4 Ti2 Mo2 Br12'
_space_group_name_H-M_alt 'I 4/m m m'
_space_group_IT_number 139
_space_group_name_Hall '-I 4 2'
_cell_length_a 7.7658
_cell_length_b 7.7658
_cell_length_c 10.9872
_cell_angle_alpha 90.00
_cell_angle_beta 90.00
_cell_angle_gamma 90.00
loop_
_atom_site_label
_atom_site_type_symbol
_atom_site_fract_x
_atom_site_fract_y
_atom_site_fract_z
_atom_site_occupancy
Cs1 Cs 0.0000 0.5000 0.2500 1
Ti1 Ti 0.0000 0.0000 0.0000 1
Mo1 Mo 0.0000 0.0000 0.5000 1
Br1 Br 0.0000 0.0000 0.2474 1
Br2 Br 0.2445 0.2445 0.0000 1
# - DOS at the Fermi energy (states/eV/f.u.) = 9.788
# - M_tot (μB/cell) = 12.00
# - formation energy from raw total energies (eV per atom) = -0.98

---

[12]
# Cs2TlMoBr6 (PBE-GGA, optimized geometry)
data_Cs2TlMoBr6
_chemical_formula_sum 'Cs8 Tl4 Mo4 Br24'
_space_group_name_H-M_alt 'F m -3 m'
_space_group_IT_number 225
_space_group_name_Hall '-F 4 2 3'
_cell_length_a 11.5997
_cell_length_b 11.5997
_cell_length_c 11.5997
_cell_angle_alpha 90.00
_cell_angle_beta 90.00
_cell_angle_gamma 90.00
loop_
_atom_site_label
_atom_site_type_symbol
_atom_site_fract_x
_atom_site_fract_y
_atom_site_fract_z
_atom_site_occupancy
Cs1 Cs 0.2500 0.2500 0.2500 1
Tl1 Tl 0.0000 0.0000 0.0000 1
Mo1 Mo 0.0000 0.0000 0.5000 1
Br1 Br 0.0000 0.0000 0.2742 1
# - DOS at the Fermi energy (states/eV/f.u.) = 0.000
# - M_tot (μB/cell) = 12.00
# - formation energy from raw total energies (eV per atom) = -1.12

---

[13]
# CsTlMoBr6 (PBE-GGA, optimized geometry)
data_CsTlMoBr6
_chemical_formula_sum 'Cs2 Tl2 Mo2 Br12'
_space_group_name_H-M_alt 'P -3 1 c'
_space_group_IT_number 163
_space_group_name_Hall '-P 3 2c'
_cell_length_a 7.8087
_cell_length_b 7.8087
_cell_length_c 14.7554
_cell_angle_alpha 90.00
_cell_angle_beta 90.00
_cell_angle_gamma 120.00
loop_
_atom_site_label
_atom_site_type_symbol
_atom_site_fract_x
_atom_site_fract_y
_atom_site_fract_z
_atom_site_occupancy
Cs1 Cs 0.0000 0.0000 0.0000 1
Tl1 Tl 0.3333 0.6667 0.2500 1
Mo1 Mo 0.3333 0.6667 0.7500 1
Br1 Br 0.0622 0.4012 0.6495 1
# - DOS at the Fermi energy (states/eV/f.u.) = 5.490
# - M_tot (μB/cell) = 4.00
# - formation energy from raw total energies (eV per atom) = -0.89

---

[14]
# Cs2MoWBr6 (PBE-GGA, optimized geometry)
data_Cs2MoWBr6
_chemical_formula_sum 'Cs4 Mo2 W2 Br12'
_space_group_name_H-M_alt 'I 4/m m m'
_space_group_IT_number 139
_space_group_name_Hall '-I 4 2'
_cell_length_a 7.7984
_cell_length_b 7.7984
_cell_length_c 11.0698
_cell_angle_alpha 90.00
_cell_angle_beta 90.00
_cell_angle_gamma 90.00
loop_
_atom_site_label
_atom_site_type_symbol
_atom_site_fract_x
_atom_site_fract_y
_atom_site_fract_z
_atom_site_occupancy
Cs1 Cs 0.0000 0.5000 0.2500 1
Mo1 Mo 0.0000 0.0000 0.0000 1
W1 W 0.0000 0.0000 0.5000 1
Br1 Br 0.0000 0.0000 0.2584 1
Br2 Br 0.2429 0.2429 0.5000 1
# - DOS at the Fermi energy (states/eV/f.u.) = 0.582
# - M_tot (μB/cell) = 16.00
# - formation energy from raw total energies (eV per atom) = -0.58

---

[15]
# Cs2BrN2 (PBE-GGA, optimized geometry)
data_Cs2BrN2
_chemical_formula_sum 'Cs4 Br2 N4'
_space_group_name_H-M_alt 'I 4/m m m'
_space_group_IT_number 139
_space_group_name_Hall '-I 4 2'
_cell_length_a 4.5448
_cell_length_b 4.5448
_cell_length_c 17.1210
_cell_angle_alpha 90.00
_cell_angle_beta 90.00
_cell_angle_gamma 90.00
loop_
_atom_site_label
_atom_site_type_symbol
_atom_site_fract_x
_atom_site_fract_y
_atom_site_fract_z
_atom_site_occupancy
Cs1 Cs 0.0000 0.0000 0.1220 1
Br1 Br 0.0000 0.0000 0.5000 1
N1 N 0.0000 0.5000 0.2500 1
# - DOS at the Fermi energy (states/eV/f.u.) = 2.760
# - M_tot (μB/cell) = 10.00
# - E above lowest polymorph (eV/f.u.) = 8.04
# - formation energy from raw total energies (eV per atom) = 0.81

---

[16]
# Cs2BrN (PBE-GGA, optimized geometry)
data_Cs2BrN
_chemical_formula_sum 'Cs8 Br4 N4'
_space_group_name_H-M_alt 'F m -3 m'
_space_group_IT_number 225
_space_group_name_Hall '-F 4 2 3'
_cell_length_a 8.4078
_cell_length_b 8.4078
_cell_length_c 8.4078
_cell_angle_alpha 90.00
_cell_angle_beta 90.00
_cell_angle_gamma 90.00
loop_
_atom_site_label
_atom_site_type_symbol
_atom_site_fract_x
_atom_site_fract_y
_atom_site_fract_z
_atom_site_occupancy
Cs1 Cs 0.2500 0.2500 0.2500 1
Br1 Br 0.0000 0.0000 0.0000 1
N1 N 0.0000 0.0000 0.5000 1
# - DOS at the Fermi energy (states/eV/f.u.) = 11.713
# - M_tot (μB/cell) = 8.00
# - formation energy from raw total energies (eV per atom) = -0.05

---

[17]
# Cs3Br3N2 (PBE-GGA, optimized geometry)
data_Cs3Br3N2
_chemical_formula_sum 'Cs12 Br12 N8'
_space_group_name_H-M_alt 'C m c m'
_space_group_IT_number 63
_space_group_name_Hall '-C 2c 2'
_cell_length_a 4.6977
_cell_length_b 18.8478
_cell_length_c 16.1640
_cell_angle_alpha 90.00
_cell_angle_beta 90.00
_cell_angle_gamma 90.00
loop_
_atom_site_label
_atom_site_type_symbol
_atom_site_fract_x
_atom_site_fract_y
_atom_site_fract_z
_atom_site_occupancy
Cs1 Cs 0.0000 0.0758 0.0956 1
Cs2 Cs 0.0000 0.3010 0.2500 1
Br1 Br 0.0000 0.3487 0.7500 1
Br2 Br 0.0000 0.4220 0.0818 1
N1 N 0.0000 0.1818 0.5966 1
# - DOS at the Fermi energy (states/eV/f.u.) = 0.000
# - M_tot (μB/cell) = 23.95
# - formation energy from raw total energies (eV per atom) = -0.01

---

[18]
# Cs3BrN (PBE-GGA, optimized geometry)
data_Cs3BrN
_chemical_formula_sum 'Cs3 Br1 N1'
_space_group_name_H-M_alt 'P m -3 m'
_space_group_IT_number 221
_space_group_name_Hall '-P 4 2 3'
_cell_length_a 6.9313
_cell_length_b 6.9313
_cell_length_c 6.9313
_cell_angle_alpha 90.00
_cell_angle_beta 90.00
_cell_angle_gamma 90.00
loop_
_atom_site_label
_atom_site_type_symbol
_atom_site_fract_x
_atom_site_fract_y
_atom_site_fract_z
_atom_site_occupancy
Cs1 Cs 0.0000 0.0000 0.5000 1
Br1 Br 0.0000 0.0000 0.0000 1
N1 N 0.5000 0.5000 0.5000 1
# - DOS at the Fermi energy (states/eV/f.u.) = 4.966
# - M_tot (μB/cell) = 1.36
# - formation energy from raw total energies (eV per atom) = 0.19

---

[19]
# CsBrN (PBE-GGA, optimized geometry)
data_CsBrN
_chemical_formula_sum 'Cs2 Br2 N2'
_space_group_name_H-M_alt 'P -1'
_space_group_IT_number 2
_space_group_name_Hall '-P 1'
_cell_length_a 6.2760
_cell_length_b 6.3194
_cell_length_c 7.2992
_cell_angle_alpha 90.02
_cell_angle_beta 90.02
_cell_angle_gamma 119.09
loop_
_atom_site_label
_atom_site_type_symbol
_atom_site_fract_x
_atom_site_fract_y
_atom_site_fract_z
_atom_site_occupancy
Cs1 Cs 0.1678 0.3309 0.2437 1
Br1 Br 0.1666 0.3310 0.7470 1
N1 N 0.4973 0.0051 0.4239 1
# - DOS at the Fermi energy (states/eV/f.u.) = 0.000
# - M_tot (μB/cell) = 0.13
# - E above lowest polymorph (eV/f.u.) = 0.01
# - formation energy from raw total energies (eV per atom) = -1.16

---

[20]
# Cs4Br2N (PBE-GGA, optimized geometry)
data_Cs4Br2N
_chemical_formula_sum 'Cs8 Br4 N2'
_space_group_name_H-M_alt 'I 4/m m m'
_space_group_IT_number 139
_space_group_name_Hall '-I 4 2'
_cell_length_a 5.7855
_cell_length_b 5.7855
_cell_length_c 19.1395
_cell_angle_alpha 90.00
_cell_angle_beta 90.00
_cell_angle_gamma 90.00
loop_
_atom_site_label
_atom_site_type_symbol
_atom_site_fract_x
_atom_site_fract_y
_atom_site_fract_z
_atom_site_occupancy
Cs1 Cs 0.0000 0.0000 0.1610 1
Cs2 Cs 0.0000 0.5000 0.0000 1
Br1 Br 0.0000 0.0000 0.3591 1
N1 N 0.0000 0.0000 0.0000 1
# - DOS at the Fermi energy (states/eV/f.u.) = 0.923
# - M_tot (μB/cell) = 2.01
# - formation energy from raw total energies (eV per atom) = -0.73